# 1
PBEsol TaTe2, optimized geometry; electronic total energy = -5.625 eV per atom; formation energy from raw total energies = 2.727 eV/f.u.; symmetry = P6/mmm (191); ρ = 10424 kg/m³
1.0
5.113 0.000 0.000
-2.557 4.428 0.000
0.000 0.000 3.069
Ta Te
1 2
direct
0.000 0.000 0.000
0.333 0.667 0.500
0.667 0.333 0.500

# 2
PBEsol PPbI3, optimized geometry; electronic total energy = -2.897 eV per atom; formation energy from raw total energies = 0.605 eV/f.u.; symmetry = Pm-3m (221); ρ = 6382 kg/m³
1.0
5.440 0.000 0.000
0.000 5.440 0.000
0.000 0.000 5.440
P Pb I
1 1 3
direct
0.000 0.000 0.000
0.500 0.500 0.500
0.000 0.000 0.500
0.000 0.500 0.000
0.500 0.000 0.000

# 3
PBEsol AsP2Ru, optimized geometry; electronic total energy = -6.674 eV per atom; DFT formation energy = 0.041 eV per atom; symmetry = P4mm (99); ρ = 6567 kg/m³
1.0
2.998 0.000 0.000
0.000 2.998 0.000
0.000 0.000 6.692
As P Ru
1 2 1
direct
0.000 0.000 0.000
0.000 0.000 0.545
0.500 0.500 0.389
0.500 0.500 0.770

# 4
PBEsol LaP5, optimized geometry; electronic total energy = -6.299 eV per atom; DFT formation energy = -0.582 eV per atom; symmetry = P2_1/m (11); ρ = 4125 kg/m³
1.0
4.632 0.000 0.000
0.000 9.600 0.000
-1.847 0.000 5.319
La P
2 10
direct
0.100 0.250 0.409
0.900 0.750 0.591
0.265 0.250 0.948
0.293 0.556 0.383
0.293 0.944 0.383
0.374 0.594 0.025
0.374 0.906 0.025
0.626 0.094 0.975
0.626 0.406 0.975
0.707 0.056 0.617
0.707 0.444 0.617
0.735 0.750 0.052

# 5
PBEsol KIr2Pt, optimized geometry; electronic total energy = -6.409 eV per atom; DFT formation energy = 0.526 eV per atom; E above lowest polymorph = 0 meV per atom; symmetry = C2/m (12); ρ = 12157 kg/m³
1.0
5.945 -1.334 0.000
5.945 1.334 0.000
-2.580 0.000 5.325
K Ir Pt
1 2 1
direct
0.000 0.000 0.000
0.203 0.203 0.616
0.797 0.797 0.384
0.500 0.500 0.500

# 6
PBEsol AlTe2Pb, optimized geometry; electronic total energy = -3.754 eV per atom; formation energy from raw total energies = 0.127 eV/f.u.; symmetry = P4/mmm (123); ρ = 7655 kg/m³
1.0
5.293 0.000 0.000
0.000 5.293 0.000
0.000 0.000 3.790
Al Te Pb
1 2 1
direct
0.000 0.000 0.000
0.000 0.500 0.500
0.500 0.000 0.500
0.500 0.500 0.000

# 7
PBEsol LiHgIr2, optimized geometry; electronic total energy = -5.426 eV per atom; DFT formation energy = 0.119 eV per atom; symmetry = C2/m (12); ρ = 16255 kg/m³
1.0
2.685 -4.717 0.000
2.685 4.717 0.000
-1.349 0.000 2.387
Li Hg Ir
1 1 2
direct
0.000 0.000 0.000
0.500 0.500 0.000
0.000 0.500 0.500
0.500 0.000 0.500

# 8
PBEsol SnIO2F, optimized geometry; electronic total energy = -3.335 eV per atom; formation energy from raw total energies = 1.777 eV/f.u.; symmetry = P4/mmm (123); ρ = 5805 kg/m³
1.0
4.577 0.000 0.000
0.000 4.577 0.000
0.000 0.000 4.049
Sn I O F
1 1 2 1
direct
0.000 0.000 0.000
0.500 0.500 0.000
0.000 0.500 0.500
0.500 0.000 0.500
0.500 0.500 0.500

# 9
PBEsol GeWCl2, optimized geometry; electronic total energy = -4.824 eV per atom; formation energy from raw total energies = 3.466 eV/f.u.; symmetry = Fm-3m (225); ρ = 8620 kg/m³
1.0
0.000 3.159 3.159
3.159 0.000 3.159
3.159 3.159 0.000
Ge W Cl
1 1 2
direct
0.000 0.000 0.000
0.500 0.500 0.500
0.250 0.250 0.250
0.750 0.750 0.750

# 10
PBEsol NaLiRu3, optimized geometry; electronic total energy = -5.248 eV per atom; DFT formation energy = 1.529 eV per atom; symmetry = Pm-3m (221); ρ = 7651 kg/m³
1.0
4.166 0.000 0.000
0.000 4.166 0.000
0.000 0.000 4.166
Na Li Ru
1 1 3
direct
0.000 0.000 0.000
0.500 0.500 0.500
0.000 0.500 0.500
0.500 0.000 0.500
0.500 0.500 0.000

# 11
PBEsol Bi14PdBr16, optimized geometry; electronic total energy = -3.583 eV per atom; formation energy from raw total energies = -15.187 eV/f.u.; symmetry = P-1 (2); ρ = 6740 kg/m³
1.0
10.805 0.000 0.000
-0.530 10.967 0.000
-3.480 -5.565 8.962
Bi Pd Br
14 1 16
direct
0.002 0.194 0.407
0.003 0.308 0.198
0.153 0.450 0.740
0.158 0.630 0.397
0.256 0.411 0.491
0.348 0.895 0.284
0.379 0.156 0.029
0.621 0.844 0.971
0.652 0.105 0.716
0.744 0.589 0.509
0.842 0.370 0.603
0.847 0.550 0.260
0.997 0.692 0.802
0.998 0.806 0.593
0.000 0.500 0.500
0.138 0.166 0.859
0.159 0.638 0.097
0.198 0.972 0.456
0.206 0.015 0.115
0.372 0.877 0.788
0.424 0.424 0.281
0.470 0.713 0.058
0.491 0.803 0.476
0.509 0.197 0.524
0.530 0.287 0.942
0.576 0.576 0.719
0.628 0.123 0.212
0.794 0.985 0.885
0.802 0.028 0.544
0.841 0.362 0.903
0.862 0.834 0.141

# 12
PBEsol Ta2Be2Al, optimized geometry; electronic total energy = -7.655 eV per atom; DFT formation energy = -0.216 eV per atom; symmetry = P4/mbm (127); ρ = 10348 kg/m³
1.0
6.080 0.000 0.000
0.000 6.080 0.000
0.000 0.000 3.533
Ta Be Al
4 4 2
direct
0.176 0.324 0.000
0.324 0.824 0.000
0.676 0.176 0.000
0.824 0.676 0.000
0.118 0.618 0.500
0.382 0.118 0.500
0.618 0.882 0.500
0.882 0.382 0.500
0.000 0.000 0.500
0.500 0.500 0.500